Computed, not measured: a relaxed LaPm2Er crystal at the PBE level of DFT.

Calculated values
For the formation energy, the calculation gives 0.1 eV/f.u. The raw total energy comes out at -0.347 Ry/atom.

The structure in CIF format:
```
data_LaPm2Er
_symmetry_space_group_name_H-M 'C 1 m 1'
_symmetry_Int_Tables_number 8
_symmetry_space_group_name_Hall 'C -2y'
_cell_length_a 6.3072
_cell_length_b 3.6373
_cell_length_c 12.0813
_cell_angle_alpha 90.00
_cell_angle_beta 100.04
_cell_angle_gamma 90.00
loop_
_atom_site_label
_atom_site_fract_x
_atom_site_fract_y
_atom_site_fract_z
La1 0.0000 0.0000 0.0000
Pm1 0.2458 0.0000 0.7410
Pm2 0.4172 0.0000 0.2586
Er1 0.3327 0.5000 0.5002
```